# 1
HgRhO2 | Alexandria via LeMat-Bulk | PBE | optimized geometry; formation energy without anion corrections = -506 meV per atom; DOS(E_F) = 2.669 states/eV/cell; space group = C2/m, No. 12
1.0
-0.693 7.926 -0.130
-2.997 0.805 -0.124
1.260 -0.915 2.687
Rh Hg O
1 1 2
direct
0.500 0.500 0.500 Rh
0.000 0.000 0.000 Hg
0.633 0.755 0.245 O
0.367 0.245 0.755 O

---

# 2
Pm8Y2Er | Alexandria via LeMat-Bulk | PBE | optimized geometry; DOS(E_F) = 18.790 states/eV/cell; energy relative to the elements = 163 meV/atom; space group = C2/m, No. 12
1.0
-1.868 0.071 6.543
5.999 1.726 10.565
2.403 7.416 9.477
Pm Y Er
8 2 1
direct
0.422 0.351 0.820 Pm
0.578 0.180 0.649 Pm
0.190 0.804 0.804 Pm
0.810 0.196 0.196 Pm
0.422 0.820 0.351 Pm
0.578 0.649 0.180 Pm
0.893 0.593 0.593 Pm
0.107 0.407 0.407 Pm
0.793 0.759 0.759 Y
0.207 0.241 0.241 Y
0.000 0.000 0.000 Er

---

# 3
BeAsCl2 | Alexandria via LeMat-Bulk | PBE | optimized geometry; formation energy without anion corrections = 693 meV per atom; DOS(E_F) = 3.041 states/eV/cell; space group = I4/mmm, No. 139
1.0
-1.189 4.204 -2.500
-4.258 -1.042 -2.473
1.104 -0.621 4.872
Be As Cl
1 1 2
direct
0.750 0.250 0.500 Be
0.250 0.750 0.500 As
0.000 0.000 0.000 Cl
0.500 0.500 0.000 Cl

---

# 4
AlAgSn2 | Alexandria via LeMat-Bulk | PBE | optimized geometry; DOS(E_F) = 1.397 states/eV/cell; energy relative to the elements = 126 meV/atom; space group = R3m, No. 160
1.0
4.432 0.000 0.000
2.216 3.838 0.000
2.216 1.279 5.776
Al Ag Sn
1 1 2
direct
0.667 0.667 0.000 Al
0.504 0.504 0.487 Ag
0.076 0.076 0.771 Sn
0.253 0.253 0.242 Sn

---

# 5
NdThMgTl | Alexandria via LeMat-Bulk | PBE | optimized geometry; DOS(E_F) = 2.774 states/eV/cell; energy relative to the elements = -106 meV/atom; space group = F-43m, No. 216
1.0
5.490 0.000 0.000
2.745 4.754 0.000
2.745 1.585 4.482
Tl Nd Mg Th
1 1 1 1
direct
0.000 0.000 0.000 Tl
0.750 0.750 0.750 Nd
0.500 0.500 0.500 Mg
0.250 0.250 0.250 Th

---

# 6
KRbSr2Cd | Alexandria via LeMat-Bulk | PBE | optimized geometry; DOS(E_F) = 3.458 states/eV/cell; energy relative to the elements = 44 meV/atom; space group = P4/mmm, No. 123
1.0
6.558 0.000 0.000
0.000 6.558 0.000
0.000 0.000 7.146
Sr K Rb Cd
2 1 1 1
direct
0.000 0.500 0.000 Sr
0.500 0.000 0.000 Sr
0.500 0.500 0.500 K
0.000 0.000 0.500 Rb
0.000 0.000 0.000 Cd